# YSc2V

A relaxed YSc2V crystal (PBE, the Alexandria database).

Results
M_tot   3.56 Bohr magnetons per cell
Energy   -6.780 eV per atom
Energy relative to the lowest polymorph listed for this composition   0.112 eV/atom
SG   No. 225

Unit cell a=5.108 b=5.108 c=5.108 alpha=60.00 beta=60.00 gamma=60.00
Fractional coordinates of all 4 atoms:
1 Y 0.000 0.000 0.000
2 Sc 0.250 0.250 0.250
3 Sc 0.750 0.750 0.750
4 V 0.500 0.500 0.500

# LiMn2CrSe

A relaxed LiMn2CrSe crystal (PBE, the Alexandria database).

Results
M_tot   11.16 Bohr magnetons per cell
Energy   -6.042 eV per atom
E_form (uncorrected)   629.7 meV per atom
SG   No. 123

Unit cell a=4.625 b=4.625 c=4.485 alpha=90.00 beta=90.00 gamma=90.00
Fractional coordinates of all 5 atoms:
1 Li 0.000 0.000 0.000
2 Mn 0.000 0.500 0.500
3 Mn 0.500 0.000 0.500
4 Cr 0.500 0.500 0.000
5 Se 0.000 0.000 0.500

# TaPbBr2

A relaxed TaPbBr2 crystal (PBE, the Alexandria database).

Results
M_tot   0.00 Bohr magnetons per cell
Energy   -4.485 eV per atom
Energy relative to the lowest polymorph listed for this composition   0.424 eV/atom
E_form (uncorrected)   241.9 meV per atom
SG   No. 10

Unit cell a=3.347 b=4.633 c=6.379 alpha=90.00 beta=102.02 gamma=90.00
Fractional coordinates of all 4 atoms:
1 Ta 0.000 0.000 0.000
2 Pb 0.500 0.000 0.500
3 Br 0.072 0.500 0.777
4 Br 0.928 0.500 0.223

# NaYTe2

A relaxed NaYTe2 crystal (PBE, the Alexandria database).

Results
M_tot   0.00 Bohr magnetons per cell
Energy   -4.701 eV per atom
E_form (uncorrected)   -1184.7 meV per atom
SG   No. 62

Unit cell a=7.952 b=4.174 c=14.837 alpha=90.00 beta=90.00 gamma=90.00
Fractional coordinates of all 16 atoms:
1 Na 0.072 0.250 0.091
2 Na 0.428 0.750 0.591
3 Na 0.572 0.250 0.409
4 Na 0.928 0.750 0.909
5 Y 0.086 0.750 0.351
6 Y 0.414 0.250 0.851
7 Y 0.586 0.750 0.149
8 Y 0.914 0.250 0.649
9 Te 0.163 0.750 0.743
10 Te 0.201 0.250 0.494
11 Te 0.299 0.750 0.994
12 Te 0.337 0.250 0.243
13 Te 0.663 0.750 0.757
14 Te 0.701 0.250 0.006
15 Te 0.799 0.750 0.506
16 Te 0.837 0.250 0.257

# PrPu3Pt2

A relaxed PrPu3Pt2 crystal (PBE, the Alexandria database).

Results
M_tot   11.56 Bohr magnetons per cell
Energy   -10.516 eV per atom
SG   No. 26

Unit cell a=4.956 b=8.502 c=7.120 alpha=90.00 beta=90.00 gamma=90.00
Fractional coordinates of all 12 atoms:
1 Pr 0.000 0.063 0.000
2 Pr 0.000 0.937 0.500
3 Pu 0.000 0.336 0.661
4 Pu 0.000 0.664 0.161
5 Pu 0.500 0.177 0.340
6 Pu 0.500 0.437 0.004
7 Pu 0.500 0.563 0.504
8 Pu 0.500 0.823 0.840
9 Pt 0.000 0.339 0.258
10 Pt 0.000 0.661 0.758
11 Pt 0.500 0.166 0.747
12 Pt 0.500 0.834 0.247

# KAc2Ga

A relaxed KAc2Ga crystal (PBE, the Alexandria database).

Results
M_tot   0.02 Bohr magnetons per cell
Energy   -3.166 eV per atom
Energy relative to the lowest polymorph listed for this composition   0.000 eV/atom
SG   No. 123

Unit cell a=3.955 b=3.955 c=10.978 alpha=90.00 beta=90.00 gamma=90.00
Fractional coordinates of all 4 atoms:
1 K 0.000 0.000 0.000
2 Ac 0.500 0.500 0.333
3 Ac 0.500 0.500 0.667
4 Ga 0.000 0.000 0.500

# PrSm4Dy4

A relaxed PrSm4Dy4 crystal (PBE, the Alexandria database).

Results
M_tot   0.00 Bohr magnetons per cell
Energy   -4.657 eV per atom
SG   No. 139

Unit cell a=8.051 b=8.051 c=8.051 alpha=95.70 beta=95.70 gamma=143.25
Fractional coordinates of all 9 atoms:
1 Pr 0.000 0.000 0.000
2 Sm 0.000 0.333 0.333
3 Sm 0.000 0.667 0.667
4 Sm 0.333 0.000 0.333
5 Sm 0.667 0.000 0.667
6 Dy 0.333 0.333 0.666
7 Dy 0.333 0.667 0.000
8 Dy 0.667 0.333 0.000
9 Dy 0.667 0.667 0.334

# K3Na2MgF9

A relaxed K3Na2MgF9 crystal (PBE, the Alexandria database).

Results
M_tot   2.07 Bohr magnetons per cell
Energy   -4.159 eV per atom
E_form (uncorrected)   -2534.4 meV per atom
SG   No. 164

Unit cell a=5.974 b=5.974 c=7.655 alpha=90.00 beta=90.00 gamma=120.00
Fractional coordinates of all 15 atoms:
1 K 0.000 0.000 0.000
2 K 0.333 0.667 0.676
3 K 0.667 0.333 0.324
4 Na 0.333 0.667 0.187
5 Na 0.667 0.333 0.813
6 Mg 0.000 0.000 0.500
7 F 0.000 0.500 0.000
8 F 0.156 0.311 0.350
9 F 0.156 0.844 0.350
10 F 0.311 0.156 0.650
11 F 0.500 0.000 0.000
12 F 0.500 0.500 0.000
13 F 0.689 0.844 0.350
14 F 0.844 0.156 0.650
15 F 0.844 0.689 0.650

# Ca2Cd2P3

A relaxed Ca2Cd2P3 crystal (PBE, the Alexandria database).

Results
M_tot   0.00 Bohr magnetons per cell
Energy   -3.844 eV per atom
SG   No. 12

Unit cell a=8.123 b=8.123 c=11.744 alpha=124.91 beta=124.91 gamma=30.49
Fractional coordinates of all 14 atoms:
1 Ca 0.113 0.113 0.461
2 Ca 0.230 0.230 0.826
3 Ca 0.770 0.770 0.174
4 Ca 0.887 0.887 0.539
5 Cd 0.093 0.093 0.161
6 Cd 0.450 0.450 0.186
7 Cd 0.550 0.550 0.814
8 Cd 0.907 0.907 0.839
9 P 0.134 0.134 0.976
10 P 0.339 0.339 0.679
11 P 0.421 0.421 0.391
12 P 0.579 0.579 0.609
13 P 0.661 0.661 0.321
14 P 0.866 0.866 0.024

# NdGd2Mg

A relaxed NdGd2Mg crystal (PBE, the Alexandria database).

Results
M_tot   14.71 Bohr magnetons per cell
Energy   -8.668 eV per atom
Energy relative to the lowest polymorph listed for this composition   0.000 eV/atom
SG   No. 123

Unit cell a=3.648 b=3.648 c=9.318 alpha=90.00 beta=90.00 gamma=90.00
Fractional coordinates of all 4 atoms:
1 Nd 0.000 0.000 0.000
2 Gd 0.500 0.500 0.271
3 Gd 0.500 0.500 0.729
4 Mg 0.000 0.000 0.500

# RbTmHgTe3

A relaxed RbTmHgTe3 crystal (PBE, the Alexandria database).

Results
M_tot   0.00 Bohr magnetons per cell
Energy   -3.461 eV per atom
E_form (uncorrected)   -933.8 meV per atom
SG   No. 11

Unit cell a=9.653 b=4.503 c=11.004 alpha=90.00 beta=109.42 gamma=90.00
Fractional coordinates of all 12 atoms:
1 Rb 0.221 0.250 0.255
2 Rb 0.779 0.750 0.745
3 Tm 0.328 0.750 0.864
4 Tm 0.672 0.250 0.136
5 Hg 0.083 0.250 0.613
6 Hg 0.917 0.750 0.387
7 Te 0.109 0.250 0.874
8 Te 0.241 0.750 0.553
9 Te 0.464 0.750 0.153
10 Te 0.536 0.250 0.847
11 Te 0.759 0.250 0.447
12 Te 0.891 0.750 0.126

# Tm6GaRh2

A relaxed Tm6GaRh2 crystal (PBE, the Alexandria database).

Results
M_tot   0.00 Bohr magnetons per cell
Energy   -5.581 eV per atom
SG   No. 71

Unit cell a=8.285 b=8.285 c=8.285 alpha=112.75 beta=111.19 gamma=104.59
Fractional coordinates of all 18 atoms:
1 Tm 0.044 0.240 0.804
2 Tm 0.179 0.283 0.462
3 Tm 0.179 0.717 0.896
4 Tm 0.331 0.027 0.696
5 Tm 0.331 0.636 0.304
6 Tm 0.436 0.240 0.196
7 Tm 0.564 0.760 0.804
8 Tm 0.669 0.364 0.696
9 Tm 0.669 0.973 0.304
10 Tm 0.821 0.283 0.104
11 Tm 0.821 0.717 0.538
12 Tm 0.956 0.760 0.196
13 Ga 0.000 0.000 0.000
14 Ga 0.500 0.500 0.000
15 Rh 0.134 0.634 0.500
16 Rh 0.332 0.000 0.332
17 Rh 0.668 0.000 0.668
18 Rh 0.866 0.366 0.500